Record 1
A plane-wave DFT calculation with PBE-GGA was carried out for crystalline RuSe2BrO at its relaxed geometry.

Calculated values
DOS at the Fermi energy = 7.0 states/eV/f.u.
Formation energy from raw total energies = 0.85 eV/atom

abc: 4.0984 4.0984 6.0115
angles: 90.00 90.00 90.00
Last column: nearest neighbours and their distance in Å.
Positions (direct):
O  0.0000  0.0000  0.0000  4 Se 2.05
Ru  0.5000  0.5000  0.5000  4 Br 2.90
Se  0.0000  0.5000  0.0000  2 O 2.05
Se  0.5000  0.0000  0.0000  2 O 2.05
Br  0.0000  0.0000  0.5000  4 Ru 2.90, 2 O 3.01

Record 2
A plane-wave DFT calculation with PBE-GGA was carried out for crystalline SrRuBrO4 at its relaxed geometry.

Calculated values
DOS at the Fermi energy = 6.2 states/eV/f.u.
Formation energy from raw total energies = -1.36 eV/atom

abc: 6.7553 6.7553 7.2810
angles: 78.39 78.39 70.57
Last column: nearest neighbours and their distance in Å.
Positions (direct):
Sr  0.2247  0.2247  0.8731  6 O 2.57-2.81
Sr  0.7753  0.7753  0.1269  6 O 2.57-2.81
Ru  0.6338  0.6338  0.7365  4 O 1.74-1.77
Ru  0.3662  0.3662  0.2635  4 O 1.74-1.77
Br  0.0208  0.0208  0.2480  2 Sr 3.05-3.08
Br  0.9792  0.9792  0.7520  2 Sr 3.05-3.08
O  0.2969  0.2969  0.5057  1 Ru 1.74
O  0.7031  0.7031  0.4943  1 Ru 1.74
O  0.1386  0.4917  0.1489  1 Ru 1.77
O  0.5291  0.5291  0.2151  1 Ru 1.74
O  0.5083  0.8614  0.8511  1 Ru 1.77
O  0.4917  0.1386  0.1489  1 Ru 1.77
O  0.4709  0.4709  0.7849  1 Ru 1.74
O  0.8614  0.5083  0.8511  1 Ru 1.77

Record 3
A plane-wave DFT calculation with PBE-GGA was carried out for crystalline TaRu2BrO at its relaxed geometry.

Calculated values
DOS at the Fermi energy = 7.9 states/eV/f.u.
Formation energy from raw total energies = 0.50 eV/atom

abc: 4.2257 4.2257 4.1889
angles: 90.00 90.00 90.00
Last column: nearest neighbours and their distance in Å.
Positions (direct):
Ru  0.0000  0.5000  0.0000  2 O 2.11
Ru  0.5000  0.0000  0.0000  2 O 2.11
O  0.0000  0.0000  0.0000  2 Ta 2.09, 4 Ru 2.11
Br  0.5000  0.5000  0.5000  8 Ru 2.98, 4 Ta 2.99
Ta  0.0000  0.0000  0.5000  2 O 2.09

Record 4
A plane-wave DFT calculation with PBE-GGA was carried out for crystalline S6Br2O at its relaxed geometry.

Calculated values
Formation energy from raw total energies = 0.02 eV/atom

abc: 14.5531 4.1430 14.5530
angles: 72.04 108.67 72.04
Last column: nearest neighbours and their distance in Å.
Positions (direct):
S  0.3333  0.5106  0.7834  1 S 1.92
S  0.2166  0.9894  0.6667  1 S 1.92
S  0.6667  0.4894  0.2166  1 S 1.92
S  0.7834  0.0106  0.3333  1 S 1.92
S  0.9599  0.0292  0.7207  1 S 1.89
S  0.2793  0.4708  0.0401  1 S 1.89
S  0.0401  0.9708  0.2793  1 S 1.89
S  0.7207  0.5292  0.9599  1 S 1.89
S  0.1376  0.8366  0.9964  1 O 1.74, 1 S 1.89
S  0.0036  0.6634  0.8624  1 O 1.74, 1 S 1.89
S  0.8624  0.1634  0.0036  1 O 1.74, 1 S 1.89
S  0.9964  0.3366  0.1376  1 O 1.74, 1 S 1.89
Br  0.4994  0.4966  0.1772  1 S 2.30
Br  0.8228  0.0034  0.5006  1 S 2.30
Br  0.5006  0.5034  0.8228  1 S 2.30
Br  0.1772  0.9966  0.4994  1 S 2.30
O  0.8903  0.7500  0.1097  2 S 1.74
O  0.1097  0.2500  0.8903  2 S 1.74

Record 5
A plane-wave DFT calculation with PBE-GGA was carried out for crystalline ScS2BrO8 at its relaxed geometry.

Calculated values
DOS at the Fermi energy = 6.1 states/eV/f.u.
Formation energy from raw total energies = -1.49 eV/atom

abc: 5.3204 5.3204 8.5729
angles: 90.00 90.00 120.00
Last column: nearest neighbours and their distance in Å.
Positions (direct):
Sc  0.0000  0.0000  0.0000  6 O 2.08
S  0.3333  0.6667  0.7976  4 O 1.48
S  0.6667  0.3333  0.2024  4 O 1.48
Br  0.0000  0.0000  0.5000  12 O 3.25-3.49
O  0.1823  0.3647  0.8569  1 S 1.48
O  0.1823  0.8177  0.8569  1 S 1.48
O  0.6353  0.8177  0.8569  1 S 1.48
O  0.3647  0.1823  0.1431  1 S 1.48
O  0.6667  0.3333  0.3751  1 S 1.48
O  0.3333  0.6667  0.6249  1 S 1.48
O  0.8177  0.6353  0.1431  1 S 1.48
O  0.8177  0.1823  0.1431  1 S 1.48

Record 6
A plane-wave DFT calculation with PBE-GGA was carried out for crystalline SeSBr2O at its relaxed geometry.

Calculated values
DOS at the Fermi energy = 4.5 states/eV/f.u.
Formation energy from raw total energies = 0.95 eV/atom

abc: 4.8651 4.8651 4.2524
angles: 90.00 90.00 90.00
Last column: nearest neighbours and their distance in Å.
Positions (direct):
O  0.0000  0.0000  0.0000  2 Se 2.13
S  0.5000  0.5000  0.5000  8 Br 3.23, 4 Se 3.44
Se  0.0000  0.0000  0.5000  2 O 2.13
Br  0.0000  0.5000  0.0000  2 O 2.43
Br  0.5000  0.0000  0.0000  2 O 2.43

no.,magnetic moment (μB per cell)
1,3.4
2,2.2
3,0.0
4,0.0
5,2.1
6,0.0